5
Lattice="-0.817 -3.830 -3.534 3.524 -2.330 1.711 -3.245 -2.426 3.378" Properties=species:S:1:pos:R:3 comment="NaLi2BeSn GGA-PBE relaxed" crystal_system=tetragonal magnetic_moment_mub_per_fu=0.0 e_tot_ev_per_atom=-2.395 e_form_mev_per_atom=180 spacegroup="No. 123" pbc="T T T"
Li -1.622 -1.213 1.689
Li -0.408 -1.915 -1.767
Sn 0.000 0.000 0.000
Na -0.269 -4.293 0.777
Be 1.762 -1.165 0.855

5
Lattice="-3.034 -0.990 -2.924 -0.396 -3.820 1.705 -3.060 1.507 2.665" Properties=species:S:1:pos:R:3 comment="NaLiBeW2 GGA-PBE relaxed" crystal_system=tetragonal magnetic_moment_mub_per_fu=0.0 e_tot_ev_per_atom=-4.622 e_form_mev_per_atom=1951 spacegroup="No. 123" pbc="T T T"
Li 0.000 0.000 0.000
Be -3.246 -1.652 0.723
W -1.517 -0.495 -1.462
W -1.530 0.754 1.333
Na -0.198 -1.910 0.853

12
Lattice="3.474 0.000 0.000 0.000 4.370 0.000 0.000 0.000 7.610" Properties=species:S:1:pos:R:3 comment="LiBe10Nb GGA-PBE relaxed" crystal_system=orthorhombic magnetic_moment_mub_per_fu=0.0 e_tot_ev_per_atom=-4.220 e_form_mev_per_atom=-116 spacegroup="No. 47" pbc="T T T"
Be 0.000 2.185 6.361
Be 1.737 1.151 5.616
Be 1.737 1.151 1.994
Be 1.737 3.219 1.994
Be 0.000 2.185 1.249
Be 0.000 0.000 5.130
Be 1.737 2.185 0.000
Be 1.737 0.000 3.805
Be 0.000 0.000 2.480
Be 1.737 3.219 5.616
Nb 0.000 2.185 3.805
Li 0.000 0.000 0.000